(1)
Density functional theory data (PBE) for a relaxed NdZn2Cu2Si crystal.

As for the density of states at the Fermi level: 0.46 states/eV per atom. As for the space group: P4/mmm. As for the total magnetic moment: 0.0 μB/f.u. The formation energy (no corrections) comes out at -0.108 eV/atom.

Cell and atoms, written as POSCAR:
```
NdZn2Cu2Si
1.0
4.411 0.000 0.000
0.000 4.411 0.000
0.000 0.000 5.673
Zn Cu Nd Si
2 2 1 1
Cartesian
2.206 2.206 1.542
2.206 2.206 4.131
2.206 0.000 0.000
0.000 2.206 0.000
0.000 0.000 2.837
0.000 0.000 0.000
```

***

(2)
Density functional theory data (PBE) for a relaxed NdSm3Cu2 crystal.

The calculation puts the formation energy at 0.4 eV per formula unit. As for the density of states at the Fermi level: 1.51 states/eV per atom. As for the space group: Ibam. Its relative energy among the computed polymorphs is 170.8 meV per atom. As for the total magnetic moment: 0.0 μB/f.u.

Cell and atoms, written as POSCAR:
```
NdSm3Cu2
1.0
-2.676 5.907 -2.511
-5.716 -0.656 4.550
7.591 0.943 3.759
Sm Cu Nd
6 4 2
Cartesian
-2.767 2.790 -0.118
1.888 5.007 0.136
-5.625 2.462 2.157
-2.689 1.188 5.662
0.169 1.516 3.387
-0.970 4.679 2.411
-0.923 5.172 -0.415
-2.688 2.430 2.886
0.122 1.023 6.213
1.886 3.765 2.912
0.000 0.000 0.000
-2.858 -0.328 2.275
```

***

(3)
Density functional theory data (PBE) for a relaxed NdSmCu2 crystal.

The calculation puts the formation energy at -0.6 eV per formula unit. As for the density of states at the Fermi level: 0.87 states/eV per atom. As for the space group: Fm-3m. Its relative energy among the computed polymorphs is 34.8 meV per atom. As for the total magnetic moment: 0.0 μB/f.u.

Cell and atoms, written as POSCAR:
```
NdSmCu2
1.0
5.049 0.000 0.000
2.524 4.372 0.000
2.524 1.457 4.122
Sm Cu Nd
1 2 1
Cartesian
0.000 0.000 0.000
7.573 4.372 3.092
2.524 1.457 1.031
5.049 2.915 2.061
```